Record 1
This record from Alexandria describes an optimized crystal structure of Pm8SnPb2. The functional is PBE.

Output
Space-group type: C2/m (12)
Density of states at the Fermi level, states/eV per cell: 12.6
Crystal system: monoclinic
Energy of formation, eV per formula unit: -3.44
Calculated volume, A^3/atom: 32.77
Calculated density, Mg/m³: 7.80

Unit cell a=5.2442 b=7.0223 c=10.3731 alpha=102.32 beta=104.64 gamma=90.00
Positions (direct):
Pm 0.4093 0.5250 0.8187
Pm 0.7857 0.6662 0.5715
Pm 0.0195 0.7642 0.0390
Pb 0.1809 0.7669 0.3617
Pm 0.6581 0.0100 0.3161
Pm 0.2143 0.3338 0.4285
Pm 0.5907 0.4750 0.1813
Pb 0.8191 0.2331 0.6383
Pm 0.9805 0.2358 0.9610
Sn 0.5000 0.0000 0.0000
Pm 0.3419 0.9900 0.6839


Record 2
This record from Alexandria describes an optimized crystal structure of Hf4Ti2Pb. The functional is PBE.

Output
Space-group type: I4/mmm (139)
Density of states at the Fermi level, states/eV per cell: 10.0
Crystal system: tetragonal
Energy of formation, eV per formula unit: 8.88
Calculated volume, A^3/atom: 27.01
Calculated density, Mg/m³: 8.93
Energy above the most stable polymorph in this dataset, kJ/mol of formula units: 589

Unit cell a=5.3570 b=5.3570 c=7.6001 alpha=69.36 beta=69.36 gamma=90.00
Site moments in Bohr magnetons follow the coordinates.
Positions (direct):
Hf 0.0000 0.5000 0.0000  0.11
Ti 0.5900 0.5900 0.8200  0.21
Ti 0.4100 0.4100 0.1800  0.21
Hf 0.5000 0.0000 0.0000  0.11
Hf 0.2123 0.2123 0.5755  0.00
Pb 0.0000 0.0000 0.0000  -0.01
Hf 0.7877 0.7877 0.4245  0.00


Record 3
This record from Alexandria describes an optimized crystal structure of LiCeSi2Rh2. The functional is PBE.

Output
Space-group type: P-3m1 (164)
Uncorrected energy, eV/atom: -6.44
Density of states at the Fermi level, states/eV per cell: 5.4
Crystal system: trigonal
Calculated volume, A^3/atom: 16.57
Calculated density, Mg/m³: 6.83

Unit cell a=4.1171 b=4.1171 c=6.7729 alpha=90.00 beta=90.00 gamma=120.00
Site moments in Bohr magnetons follow the coordinates.
Positions (direct):
Rh 0.3333 0.6667 0.6435  0.00
Li 0.0000 0.0000 0.5000  0.00
Si 0.6667 0.3333 0.7160  0.00
Si 0.3333 0.6667 0.2840  0.00
Ce 0.0000 0.0000 0.0000  0.46
Rh 0.6667 0.3333 0.3565  0.00


Record 4
This record from Alexandria describes an optimized crystal structure of TbInNiRh. The functional is PBE.

Output
Space-group type: F-43m (216)
Density of states at the Fermi level, states/eV per cell: 3.1
Crystal system: cubic
Energy of formation, eV per formula unit: -2.05
Calculated volume, A^3/atom: 18.14
Calculated density, Mg/m³: 9.96

Unit cell a=4.6815 b=4.6815 c=4.6815 alpha=60.00 beta=60.00 gamma=60.00
Positions (direct):
Ni 0.7500 0.7500 0.7500
Rh 0.2500 0.2500 0.2500
Tb 0.0000 0.0000 0.0000
In 0.5000 0.5000 0.5000


Record 5
This record from Alexandria describes an optimized crystal structure of Ho2TlNi. The functional is PBE.

Output
Space-group type: P4/mmm (123)
Density of states at the Fermi level, states/eV per cell: 4.4
Crystal system: tetragonal
Energy of formation, eV per formula unit: -1.48
Calculated volume, A^3/atom: 23.04
Calculated density, Mg/m³: 10.69
Energy above the most stable polymorph in this dataset, kJ/mol of formula units: 0

Unit cell a=3.4570 b=3.4570 c=7.7105 alpha=90.00 beta=90.00 gamma=90.00
Positions (direct):
Ni 0.5000 0.5000 0.0000
Ho 0.0000 0.0000 0.2103
Tl 0.5000 0.5000 0.5000
Ho 0.0000 0.0000 0.7897


Record 6
This record from Alexandria describes an optimized crystal structure of Dy7Ho2Er3. The functional is PBE.

Output
Space-group type: P2/m (10)
Density of states at the Fermi level, states/eV per cell: 19.0
Crystal system: monoclinic
Energy of formation, eV per formula unit: 3.78
Calculated volume, A^3/atom: 33.26
Calculated density, Mg/m³: 8.19
Energy above the most stable polymorph in this dataset, kJ/mol of formula units: 183

Unit cell a=5.4488 b=6.1460 c=11.9210 alpha=91.36 beta=90.00 gamma=90.00
Positions (direct):
Er 0.5000 0.5000 0.0000
Dy 0.0000 0.0000 0.0000
Dy 0.0000 0.4374 0.1804
Ho 0.5000 0.6083 0.2782
Dy 0.5000 0.7628 0.5462
Dy 0.5000 0.9122 0.8318
Ho 0.5000 0.3917 0.7218
Dy 0.5000 0.0878 0.1682
Dy 0.5000 0.2372 0.4538
Er 0.0000 0.9444 0.3401
Er 0.0000 0.0556 0.6599
Dy 0.0000 0.5626 0.8196